Entry 1:
# TlCO2

A relaxed TlCO2 crystal (PBE-GGA, the Alexandria database).

## Properties
Energy above the lowest structure with this stoichiometry (eV per atom): 2.0931
Total energy (eV/atom): -4.343
Spin magnetization (μB/f.u.): 0.00

Cell lengths 7.155, 7.155, 7.155 Å; angles 22.63, 22.63, 22.63 degrees
Element x y z (fractional)
O (0.876, 0.876, 0.876)
Tl (0.000, 0.000, 0.000)
C (0.500, 0.500, 0.500)
O (0.124, 0.124, 0.124)

=====

Entry 2:
# Tl2C3O4

A relaxed Tl2C3O4 crystal (PBE-GGA, the Alexandria database).

## Properties
Total energy (eV/atom): -6.620
Spin magnetization (μB/f.u.): 0.00

Cell lengths 7.540, 7.540, 7.499 Å; angles 74.19, 74.19, 54.63 degrees
Element x y z (fractional)
Tl (0.130, 0.392, 0.340)
O (0.568, 0.257, 0.570)
C (0.967, 0.033, 0.500)
Tl (0.608, 0.870, 0.660)
C (0.740, 0.260, 0.500)
O (0.966, 0.859, 0.534)
C (0.050, 0.274, 0.901)
O (0.582, 0.996, 0.245)
C (0.726, 0.950, 0.099)
O (0.793, 0.798, 0.006)
C (0.923, 0.173, 0.969)
Tl (0.243, 0.568, 0.794)
C (0.827, 0.077, 0.031)
Tl (0.432, 0.757, 0.206)
O (0.743, 0.432, 0.430)
O (0.004, 0.418, 0.755)
O (0.202, 0.207, 0.994)
O (0.141, 0.034, 0.466)

=====

Entry 3:
# TlCO2

A relaxed TlCO2 crystal (PBE-GGA, the Alexandria database).

## Properties
Energy above the lowest structure with this stoichiometry (eV per atom): 0.0000
Total energy (eV/atom): -6.436
Spin magnetization (μB/f.u.): 0.00

Cell lengths 6.006, 6.812, 6.942 Å; angles 99.48, 90.00, 90.00 degrees
Element x y z (fractional)
O (0.249, 0.489, 0.633)
O (0.751, 0.511, 0.367)
O (0.251, 0.489, 0.133)
Tl (0.054, 0.196, 0.315)
C (0.408, 0.571, 0.554)
Tl (0.946, 0.804, 0.685)
Tl (0.446, 0.196, 0.815)
O (0.749, 0.511, 0.867)
Tl (0.554, 0.804, 0.185)
O (0.427, 0.756, 0.553)
O (0.927, 0.244, 0.947)
C (0.092, 0.571, 0.054)
O (0.073, 0.756, 0.053)
C (0.908, 0.429, 0.946)
C (0.592, 0.429, 0.446)
O (0.573, 0.244, 0.447)

=====

Entry 4:
# TlC2O6

A relaxed TlC2O6 crystal (PBE-GGA, the Alexandria database).

## Properties
Total energy (eV/atom): -6.349
Spin magnetization (μB/f.u.): 0.99

Cell lengths 10.507, 8.757, 10.507 Å; angles 59.67, 22.45, 59.67 degrees
Each line ends with the local moment (μB).
Element x y z (fractional)
O (0.037, 0.815, 0.426)  0.00
O (0.970, 0.425, 0.091)  0.40
O (0.815, 0.488, 0.550)  0.00
C (0.309, 0.159, 0.243)  0.00
C (0.691, 0.841, 0.757)  0.00
Tl (0.609, 0.750, 0.391)  0.01
O (0.091, 0.925, 0.970)  0.40
C (0.243, 0.659, 0.309)  0.00
O (0.550, 0.988, 0.815)  0.00
O (0.963, 0.185, 0.574)  0.00
O (0.426, 0.315, 0.037)  0.00
O (0.450, 0.012, 0.185)  0.00
C (0.757, 0.341, 0.691)  0.00
O (0.909, 0.075, 0.030)  0.40
O (0.185, 0.512, 0.450)  0.00
Tl (0.391, 0.250, 0.609)  0.01
O (0.030, 0.575, 0.909)  0.40
O (0.574, 0.685, 0.963)  0.00

=====

no.,uncorrected formation energy (eV/atom)
1,1.03
2,-0.82
3,-1.06
4,-0.73